(1)
Compound: Ba2InSb3
Source: the Alexandria database
Functional: GGA-PBE
Structure: relaxed

- Electronic total energy: -3.860 eV/atom
- Formation energy from raw total energies: -701 meV per atom

Cell and atoms, written as CIF:
```
data_Ba2InSb3
_chemical_formula_sum 'Ba8 In4 Sb12'
_cell_length_a 7.8181
_cell_length_b 4.9903
_cell_length_c 22.5433
_cell_angle_alpha 90.00
_cell_angle_beta 90.00
_cell_angle_gamma 90.00
_space_group_name_H-M_alt 'P n m a'
_space_group_IT_number 62
_space_group_name_Hall '-P 2ac 2n'
loop_
_atom_site_label
_atom_site_fract_x
_atom_site_fract_y
_atom_site_fract_z
Ba1 0.1760 0.2500 0.0760
Ba2 0.1863 0.2500 0.2865
In1 0.0210 0.7500 0.4400
Sb1 0.0025 0.2500 0.8349
Sb2 0.1382 0.2500 0.6804
Sb3 0.2233 0.2500 0.4542
```

(2)
Compound: NbAgSb2
Source: the Alexandria database
Functional: GGA-PBE
Structure: relaxed

- Electronic total energy: -4.794 eV/atom
- Formation energy from raw total energies: 497 meV per atom

Cell and atoms, written as CIF:
```
data_NbAgSb2
_chemical_formula_sum 'Nb3 Ag3 Sb6'
_cell_length_a 3.0670
_cell_length_b 3.0670
_cell_length_c 34.1117
_cell_angle_alpha 90.00
_cell_angle_beta 90.00
_cell_angle_gamma 120.00
_space_group_name_H-M_alt 'R -3 m'
_space_group_IT_number 166
_space_group_name_Hall '-R 3 2"'
loop_
_atom_site_label
_atom_site_fract_x
_atom_site_fract_y
_atom_site_fract_z
Nb1 0.0000 0.0000 0.0000
Ag1 0.0000 0.0000 0.5000
Sb1 0.0000 0.0000 0.0857
```

(3)
Compound: SrIr2
Source: the Alexandria database
Functional: GGA-PBE
Structure: relaxed

- Electronic total energy: -5.707 eV/atom
- Formation enthalpy at 0 K: 0.7611 eV per atom

Cell and atoms, written as CIF:
```
data_SrIr2
_chemical_formula_sum 'Sr1 Ir2'
_cell_length_a 2.9448
_cell_length_b 2.9448
_cell_length_c 7.4296
_cell_angle_alpha 90.00
_cell_angle_beta 90.00
_cell_angle_gamma 120.00
_space_group_name_H-M_alt 'P -3 m 1'
_space_group_IT_number 164
_space_group_name_Hall '-P 3 2"'
loop_
_atom_site_label
_atom_site_fract_x
_atom_site_fract_y
_atom_site_fract_z
Sr1 0.0000 0.0000 0.0000
Ir1 0.3333 0.6667 0.6412
```

(4)
Compound: Zn5Ga4Pd
Source: the Alexandria database
Functional: GGA-PBE
Structure: relaxed

- Electronic total energy: -2.396 eV/atom
- Formation enthalpy at 0 K: -0.0286 eV per atom

Cell and atoms, written as CIF:
```
data_Zn5Ga4Pd
_chemical_formula_sum 'Zn10 Ga8 Pd2'
_cell_length_a 8.4925
_cell_length_b 8.4925
_cell_length_c 4.9301
_cell_angle_alpha 90.00
_cell_angle_beta 90.00
_cell_angle_gamma 90.00
_space_group_name_H-M_alt 'I 4 m m'
_space_group_IT_number 107
_space_group_name_Hall 'I 4 -2'
loop_
_atom_site_label
_atom_site_fract_x
_atom_site_fract_y
_atom_site_fract_z
Zn1 0.0000 0.0000 0.0000
Zn2 0.1940 0.1940 0.2691
Ga1 0.0000 0.3042 0.7251
Pd1 0.0000 0.0000 0.5017
```

(5)
Compound: LiNpClF4
Source: the Alexandria database
Functional: GGA-PBE
Structure: relaxed

- Electronic total energy: -6.461 eV/atom
- Formation energy from raw total energies: -3006 meV per atom

Cell and atoms, written as CIF:
```
data_LiNpClF4
_chemical_formula_sum 'Li4 Np4 Cl4 F16'
_cell_length_a 10.3653
_cell_length_b 7.1725
_cell_length_c 7.0052
_cell_angle_alpha 90.00
_cell_angle_beta 108.25
_cell_angle_gamma 90.00
_space_group_name_H-M_alt 'C 1 2/m 1'
_space_group_IT_number 12
_space_group_name_Hall '-C 2y'
loop_
_atom_site_label
_atom_site_fract_x
_atom_site_fract_y
_atom_site_fract_z
Li1 0.1323 0.0000 0.2726
Np1 0.2286 0.5000 0.1268
Cl1 0.0045 0.5000 0.7690
F1 0.0575 0.0000 0.8257
F2 0.1990 0.0000 0.5537
F3 0.2157 0.1908 0.1500
```

(6)
Compound: CoSi2Rh
Source: the Alexandria database
Functional: GGA-PBE
Structure: relaxed

- Electronic total energy: -6.836 eV/atom
- Formation energy from raw total energies: -511 meV per atom

Cell and atoms, written as CIF:
```
data_CoSi2Rh
_chemical_formula_sum 'Co1 Si2 Rh1'
_cell_length_a 3.1271
_cell_length_b 3.1271
_cell_length_c 5.1476
_cell_angle_alpha 90.00
_cell_angle_beta 90.00
_cell_angle_gamma 90.00
_space_group_name_H-M_alt 'P 4 m m'
_space_group_IT_number 99
_space_group_name_Hall 'P 4 -2'
loop_
_atom_site_label
_atom_site_fract_x
_atom_site_fract_y
_atom_site_fract_z
Co1 0.0000 0.0000 0.0000
Si1 0.0000 0.0000 0.5546
Si2 0.5000 0.5000 0.8523
Rh1 0.5000 0.5000 0.3590
```

For each record above, in turn, the calculated V values are 879.5 277.9 55.8 355.6 494.6 50.3 Å³/cell.